# 1
DFT (PBE) results for KPd2Cl2 after structural relaxation.

Output
Magnetic moment   0.000 Bohr magnetons per cell
Uncorrected formation energy   -0.464 eV/atom
ΔE to the lowest computed polymorph   0.0468 eV/atom
Theoretical density   3566 kg/m3

```
data_KPd2Cl2
_chemical_formula_sum 'K2 Pd4 Cl4'
_symmetry_space_group_name_H-M 'P 4/m b m'
_symmetry_Int_Tables_number 127
_symmetry_space_group_name_Hall '-P 4 2ab'
_cell_length_a 8.159
_cell_length_b 8.159
_cell_length_c 4.517
_cell_angle_alpha 90.00
_cell_angle_beta 90.00
_cell_angle_gamma 90.00
loop_
_atom_site_label
_atom_site_fract_x
_atom_site_fract_y
_atom_site_fract_z
_atom_site_occupancy
K1 0.000 0.000 0.000 1
Pd1 0.115 0.385 0.500 1
Cl1 0.160 0.340 0.000 1
```

---

# 2
DFT (PBE) results for K2PdCl4 after structural relaxation.

Output
Magnetic moment   0.000 Bohr magnetons per cell
Uncorrected formation energy   -1.322 eV/atom
ΔE to the lowest computed polymorph   0.0530 eV/atom
Theoretical density   2788 kg/m3

```
data_K2PdCl4
_chemical_formula_sum 'K4 Pd2 Cl8'
_symmetry_space_group_name_H-M 'I 4/m m m'
_symmetry_Int_Tables_number 139
_symmetry_space_group_name_Hall '-I 4 2'
_cell_length_a 5.023
_cell_length_b 5.023
_cell_length_c 15.415
_cell_angle_alpha 90.00
_cell_angle_beta 90.00
_cell_angle_gamma 90.00
loop_
_atom_site_label
_atom_site_fract_x
_atom_site_fract_y
_atom_site_fract_z
_atom_site_occupancy
K1 0.000 0.000 0.137 1
Pd1 0.000 0.000 0.500 1
Cl1 0.000 0.000 0.341 1
Cl2 0.000 0.500 0.000 1
```

---

# 3
DFT (PBE) results for K2PdCl7 after structural relaxation.

Output
Magnetic moment   4.000 Bohr magnetons per cell
Uncorrected formation energy   -0.916 eV/atom
Theoretical density   2402 kg/m3

```
data_K2PdCl7
_chemical_formula_sum 'K8 Pd4 Cl28'
_symmetry_space_group_name_H-M 'C 1 2/c 1'
_symmetry_Int_Tables_number 15
_cell_length_a 11.637
_cell_length_b 9.713
_cell_length_c 10.638
_cell_angle_alpha 90.00
_cell_angle_beta 95.53
_cell_angle_gamma 90.00
loop_
_symmetry_equiv_pos_as_xyz
'x,y,z'
'-x,-y,-z'
'-x,y,-z+1/2'
'x,-y,z+1/2'
'x+1/2,y+1/2,z'
'-x+1/2,-y+1/2,-z'
'-x+1/2,y+1/2,-z+1/2'
'x+1/2,-y+1/2,z+1/2'
loop_
_atom_site_label
_atom_site_fract_x
_atom_site_fract_y
_atom_site_fract_z
_atom_site_occupancy
K1 0.197 0.005 0.037 1
Pd1 0.000 0.280 0.750 1
Cl1 0.000 0.024 0.750 1
Cl2 0.088 0.294 0.955 1
Cl3 0.088 0.319 0.267 1
Cl4 0.181 0.297 0.670 1
```

---

> Which formula does entry 1 have?

KPd2Cl2